Entry 1:
Here is crystalline Ca2Ac2IrPt2 at its relaxed geometry from Alexandria. Energies are from PBE-GGA.

Cell and atoms, written as POSCAR:
```
Ca2Ac2IrPt2
1.0
4.082 -0.002 0.001
2.036 7.145 1.045
0.000 2.893 7.583
Pt Ac Ca Ir
2 2 2 1
Cartesian
2.039 7.144 4.960
4.080 2.892 3.669
2.042 1.192 1.786
4.076 8.843 6.843
4.080 5.125 5.792
2.039 4.911 2.837
0.000 0.000 0.000
```

Values from the calculation:
Symmetry = P-1
V = 208.9 Å³/cell
Crystal system = triclinic
DFT formation energy = -0.771 eV per atom



Entry 2:
Here is crystalline Tb2Al5Ag3 at its relaxed geometry from Alexandria. Energies are from PBE-GGA.

Cell and atoms, written as POSCAR:
```
Tb2Al5Ag3
1.0
6.036 0.000 0.000
3.018 8.163 -0.310
3.018 0.953 8.113
Tb Al Ag
4 10 6
Cartesian
3.018 5.148 0.850
6.036 1.633 4.955
6.036 7.483 2.848
9.053 3.968 6.954
7.544 4.558 3.902
6.036 6.053 -0.014
4.527 4.558 3.902
10.562 6.895 5.902
7.544 6.895 5.902
3.018 0.919 5.983
1.509 2.222 1.902
9.053 8.197 1.821
4.527 2.222 1.902
6.036 3.064 7.818
9.053 6.678 3.788
6.036 4.773 6.014
3.018 2.438 4.015
6.036 4.343 1.790
1.509 0.000 0.000
4.527 0.000 0.000
```

Values from the calculation:
Symmetry = Ibam
V = 401.5 Å³/cell
Crystal system = orthorhombic
DFT formation energy = -0.351 eV per atom



Among the records above, which one has the highest DFT formation energy? Tb2Al5Ag3



Which value of DFT formation energy does entry 2 give? -0.351 eV per atom



Number 1 is which compound? Ca2Ac2IrPt2



Among the records above, which one has the highest DFT formation energy? Tb2Al5Ag3